Density functional theory data (GGA-PBE) for an optimized crystal structure of Sc2CuTc.

Geometry as POSCAR:
```
Sc2CuTc
1.0
-2.272 0.578 3.924
1.033 -2.567 3.639
2.098 1.878 3.600
Tc Sc Cu
1 2 1
Direct
0.750 0.750 0.750 Tc
0.000 0.000 0.000 Sc
0.250 0.250 0.250 Sc
0.500 0.500 0.500 Cu
```

Output
As for the formation energy: 0.091 eV/atom. As for the final energy: -6.6907 eV/atom. The space-group type is F-43m.